# PBEsol RbGePdF2, relaxed
# energy relative to the elements, uncorrected	-1.2789	eV/atom
data_RbGePdF2
_symmetry_space_group_name_H-M 'P 4/m m m'
_symmetry_Int_Tables_number 123
_symmetry_space_group_name_Hall '-P 4 2'
_cell_length_a 4.4355
_cell_length_b 4.4355
_cell_length_c 4.7668
_cell_angle_alpha 90.00
_cell_angle_beta 90.00
_cell_angle_gamma 90.00
loop_
_atom_site_label
_atom_site_fract_x
_atom_site_fract_y
_atom_site_fract_z
Rb1 0.0000 0.0000 0.0000
Ge1 0.5000 0.5000 0.5000
Pd1 0.5000 0.5000 0.0000
F1 0.0000 0.5000 0.5000

---

# PBEsol MgCuSi2F, relaxed
# energy relative to the elements, uncorrected	0.0204	eV/atom
data_MgCuSi2F
_symmetry_space_group_name_H-M 'P 4/m m m'
_symmetry_Int_Tables_number 123
_symmetry_space_group_name_Hall '-P 4 2'
_cell_length_a 4.5436
_cell_length_b 4.5436
_cell_length_c 3.8057
_cell_angle_alpha 90.00
_cell_angle_beta 90.00
_cell_angle_gamma 90.00
loop_
_atom_site_label
_atom_site_fract_x
_atom_site_fract_y
_atom_site_fract_z
Mg1 0.0000 0.0000 0.0000
Cu1 0.5000 0.5000 0.0000
Si1 0.0000 0.5000 0.5000
F1 0.0000 0.0000 0.5000

---

# PBEsol La2TlPt, relaxed
# energy of formation	-0.64	eV/atom
# ΔE to the lowest computed polymorph	0.096	eV per atom
data_La2TlPt
_symmetry_space_group_name_H-M 'I m m 2'
_symmetry_Int_Tables_number 44
_cell_length_a 3.7409
_cell_length_b 4.8348
_cell_length_c 11.7577
_cell_angle_alpha 90.00
_cell_angle_beta 90.00
_cell_angle_gamma 90.00
loop_
_symmetry_equiv_pos_as_xyz
'x,y,z'
'-x,-y,z'
'-x,y,z'
'x,-y,z'
'x+1/2,y+1/2,z+1/2'
'-x+1/2,-y+1/2,z+1/2'
'-x+1/2,y+1/2,z+1/2'
'x+1/2,-y+1/2,z+1/2'
loop_
_atom_site_label
_atom_site_fract_x
_atom_site_fract_y
_atom_site_fract_z
La1 0.0000 0.0000 0.0000
La2 0.0000 0.5000 0.2046
Tl1 0.0000 0.0000 0.4049
Pt1 0.0000 0.5000 0.7117

---

Number 1: raw total energy -4.43 eV/atom, M_tot 0.00 μB per formula unit. Number 2: raw total energy -3.87 eV/atom, M_tot 0.00 μB per formula unit. Number 3: raw total energy -5.71 eV/atom, M_tot 0.00 μB per formula unit.